A relaxed Lu2ScZnIn2 crystal, computed with PBE.

```
Lu2ScZnIn2
1.0
4.8922 0.0000 0.0000
-2.4461 4.2368 0.0000
0.0000 0.0000 6.8647
Lu Sc Zn In
2 1 1 2
Cartesian
0.0000 0.0000 1.6821 Lu
0.0000 0.0000 5.1825 Lu
2.4461 1.4123 3.4323 Sc
0.0000 2.8245 0.0000 Zn
0.0000 2.8245 3.4323 In
2.4461 1.4123 0.0000 In
```

* ρ: 8.05 g cm⁻³
* magnetic moment: 0.004 μB per atom
* E: -23.956 eV/f.u.

---

A relaxed LuZnInSe3 crystal, computed with PBE.

```
LuZnInSe3
1.0
10.7826 0.0000 0.0000
0.0000 4.0501 0.0000
0.0000 0.0000 14.5194
Lu Zn In Se
4 4 4 12
Cartesian
0.1388 1.0125 3.5004 Lu
5.2525 3.0376 10.7601 Lu
5.5302 1.0125 3.7594 Lu
10.6438 3.0376 11.0191 Lu
2.5935 1.0125 10.3409 Zn
2.7978 3.0376 3.0812 Zn
7.9848 1.0125 11.4382 Zn
8.1891 3.0376 4.1785 Zn
2.3249 3.0376 7.2681 In
3.0664 1.0125 0.0084 In
7.7162 3.0376 14.5111 In
8.4577 1.0125 7.2513 In
0.4600 1.0125 9.1162 Se
0.8034 3.0376 1.6732 Se
2.5960 3.0376 11.8697 Se
2.7953 1.0125 4.6100 Se
4.5879 1.0125 8.9329 Se
4.9313 3.0376 1.8565 Se
5.8513 1.0125 12.6630 Se
6.1947 3.0376 5.5865 Se
7.9873 3.0376 9.9095 Se
8.1866 1.0125 2.6498 Se
9.9792 1.0125 12.8463 Se
10.3226 3.0376 5.4033 Se
```

* ρ: 6.20 g cm⁻³
* distance to the lowest polymorph of the same formula: 0.001 eV per atom
* magnetic moment: 0.001 μB per atom
* E: -25.323 eV/f.u.

---

A relaxed LuZnInSe3 crystal, computed with PBE.

```
LuZnInSe3
1.0
8.2334 0.0000 0.0000
0.0000 4.0432 0.0000
-3.6247 0.0000 9.9554
Lu Zn In Se
2 2 2 6
Cartesian
1.0496 1.0108 1.4020 Lu
3.5591 3.0324 8.5534 Lu
2.0787 3.0324 3.8850 Zn
2.5300 1.0108 6.0704 Zn
-0.7307 3.0324 7.1170 In
5.3394 1.0108 2.8384 In
-2.6831 1.0108 8.5825 Se
0.6356 1.0108 4.3313 Se
2.9954 3.0324 1.6060 Se
1.6133 1.0108 8.3494 Se
3.9731 3.0324 5.6241 Se
7.2918 3.0324 1.3729 Se
```

* ρ: 5.93 g cm⁻³
* distance to the lowest polymorph of the same formula: 0.017 eV per atom
* magnetic moment: 0.003 μB per atom
* E: -25.229 eV/f.u.

---

What did the second record say?
A relaxed LuZnInSe3 crystal, computed with PBE.

```
LuZnInSe3
1.0
10.7826 0.0000 0.0000
0.0000 4.0501 0.0000
0.0000 0.0000 14.5194
Lu Zn In Se
4 4 4 12
Cartesian
0.1388 1.0125 3.5004 Lu
5.2525 3.0376 10.7601 Lu
5.5302 1.0125 3.7594 Lu
10.6438 3.0376 11.0191 Lu
2.5935 1.0125 10.3409 Zn
2.7978 3.0376 3.0812 Zn
7.9848 1.0125 11.4382 Zn
8.1891 3.0376 4.1785 Zn
2.3249 3.0376 7.2681 In
3.0664 1.0125 0.0084 In
7.7162 3.0376 14.5111 In
8.4577 1.0125 7.2513 In
0.4600 1.0125 9.1162 Se
0.8034 3.0376 1.6732 Se
2.5960 3.0376 11.8697 Se
2.7953 1.0125 4.6100 Se
4.5879 1.0125 8.9329 Se
4.9313 3.0376 1.8565 Se
5.8513 1.0125 12.6630 Se
6.1947 3.0376 5.5865 Se
7.9873 3.0376 9.9095 Se
8.1866 1.0125 2.6498 Se
9.9792 1.0125 12.8463 Se
10.3226 3.0376 5.4033 Se
```

* ρ: 6.20 g cm⁻³
* distance to the lowest polymorph of the same formula: 0.001 eV per atom
* magnetic moment: 0.001 μB per atom
* E: -25.323 eV/f.u.